Below is an optimized crystal structure of Rb2ScAg, with properties calculated at the PBE level.

a = 9.3972 Å, b = 9.3972 Å, c = 9.3972 Å
α = 94.89°, β = 94.89°, γ = 146.04°
Last column: nearest neighbours and their distance in Å.
Positions (direct):
Rb (0.3750, 0.2319, 0.3569)  2 Ag 3.52
Rb (0.7681, 0.1250, 0.1431)  2 Ag 3.52
Rb (0.8750, 0.0181, 0.6431)  2 Ag 3.52
Rb (0.9819, 0.6250, 0.8569)  2 Ag 3.52
Sc (0.2500, 0.7500, 0.5000)  2 Ag 2.74
Sc (0.5000, 0.5000, 0.0000)  2 Ag 2.74
Ag (0.0000, 0.0000, 0.0000)  2 Sc 2.74
Ag (0.7500, 0.2500, 0.5000)  2 Sc 2.74

total magnetic moment	0.9	μB per formula unit
formation energy from the elements	0.575	eV/atom
energy above the most stable polymorph in this dataset	0.0000	eV per atom
SG	I-42d, No. 122

---

Below is an optimized crystal structure of Li3Cd6Pd, with properties calculated at the PBE level.

a = 7.8338 Å, b = 7.8338 Å, c = 7.8338 Å
α = 108.16°, β = 108.16°, γ = 108.16°
Last column: nearest neighbours and their distance in Å.
Positions (direct):
Li (0.1019, 0.3799, 0.2710)  2 Pd 2.73-2.74, 4 Cd 2.80-2.82
Li (0.2710, 0.1019, 0.3799)  2 Pd 2.73-2.74, 4 Cd 2.80-2.82
Li (0.3799, 0.2710, 0.1019)  2 Pd 2.73-2.74, 4 Cd 2.80-2.82
Li (0.6201, 0.7290, 0.8981)  2 Pd 2.73-2.74, 4 Cd 2.80-2.82
Li (0.7290, 0.8981, 0.6201)  2 Pd 2.73-2.74, 4 Cd 2.80-2.82
Li (0.8981, 0.6201, 0.7290)  2 Pd 2.73-2.74, 4 Cd 2.80-2.82
Cd (0.0086, 0.6915, 0.1300)  2 Li 2.80, 4 Cd 2.86-3.02, 1 Pd 2.91
Cd (0.1300, 0.0086, 0.6915)  2 Li 2.80, 4 Cd 2.86-3.02, 1 Pd 2.91
Cd (0.2146, 0.4310, 0.6659)  3 Li 2.80-3.10, 3 Cd 2.86-3.05, 1 Pd 2.91
Cd (0.3085, 0.8700, 0.9914)  2 Li 2.80, 4 Cd 2.86-3.02, 1 Pd 2.91
Cd (0.3341, 0.7854, 0.5690)  3 Li 2.80-3.10, 3 Cd 2.86-3.05, 1 Pd 2.91
Cd (0.4310, 0.6659, 0.2146)  3 Li 2.80-3.10, 3 Cd 2.86-3.05, 1 Pd 2.91
Cd (0.5690, 0.3341, 0.7854)  3 Li 2.80-3.10, 3 Cd 2.86-3.05, 1 Pd 2.91
Cd (0.6659, 0.2146, 0.4310)  3 Li 2.80-3.10, 3 Cd 2.86-3.05, 1 Pd 2.91
Cd (0.6916, 0.1300, 0.0086)  2 Li 2.80, 4 Cd 2.86-3.02, 1 Pd 2.91
Cd (0.7854, 0.5690, 0.3341)  3 Li 2.80-3.10, 3 Cd 2.86-3.05, 1 Pd 2.91
Cd (0.8700, 0.9914, 0.3085)  2 Li 2.80, 4 Cd 2.86-3.02, 1 Pd 2.91
Cd (0.9914, 0.3084, 0.8700)  2 Li 2.80, 4 Cd 2.86-3.02, 1 Pd 2.91
Pd (0.0000, 0.0000, 0.0000)  6 Li 2.74, 6 Cd 2.91
Pd (0.5000, 0.5000, 0.5000)  6 Li 2.73, 6 Cd 2.91

total magnetic moment	0.0	μB per formula unit
formation energy from the elements	-0.233	eV/atom
energy above the most stable polymorph in this dataset	0.0000	eV per atom
SG	R-3, No. 148

---

Below is an optimized crystal structure of WAu, with properties calculated at the PBE level.

a = 4.4827 Å, b = 4.4827 Å, c = 5.2816 Å
α = 90.00°, β = 90.00°, γ = 120.00°
Last column: nearest neighbours and their distance in Å.
Positions (direct):
W (0.3333, 0.6667, 0.2500)  5 Au 2.59-2.64
W (0.6667, 0.3333, 0.7500)  5 Au 2.59-2.64
Au (0.3333, 0.6667, 0.7500)  5 W 2.59-2.64
Au (0.6667, 0.3333, 0.2500)  5 W 2.59-2.64

total magnetic moment	0.0	μB per formula unit
formation energy from the elements	1.725	eV/atom
energy above the most stable polymorph in this dataset	1.4749	eV per atom
SG	P6_3/mmc, No. 194